Entry 1:
Hf2FeHgMo | Alexandria via LeMat-Bulk | GGA-PBE | relaxed; D(E_F) = 12.0 states/eV/cell; uncorrected energy = -29.72 eV per formula unit
1.0
-2.602 4.421 0.437
-1.040 -0.128 -4.896
-4.312 -2.636 0.985
Hf Mo Fe Hg
2 1 1 1
direct
0.500 0.000 0.000 Hf
0.000 0.000 0.500 Hf
0.000 0.500 0.000 Mo
0.500 0.500 0.500 Fe
0.000 0.000 0.000 Hg

***

Entry 2:
Na2HfFeHg | Alexandria via LeMat-Bulk | GGA-PBE | relaxed; D(E_F) = 5.8 states/eV/cell; uncorrected energy = -15.58 eV per formula unit
1.0
-1.366 -2.189 -4.498
2.264 -4.807 1.652
-4.536 -1.424 2.070
Hg Hf Fe Na
1 1 1 2
direct
0.000 0.000 0.000 Hg
0.000 0.500 0.000 Hf
0.500 0.500 0.500 Fe
0.000 0.000 0.500 Na
0.500 0.000 0.000 Na

***

Entry 3:
HfFeHgOs2 | Alexandria via LeMat-Bulk | GGA-PBE | relaxed; D(E_F) = 4.9 states/eV/cell; uncorrected energy = -35.55 eV per formula unit
1.0
-2.385 -3.649 -0.934
3.939 -2.580 0.021
-0.528 -0.771 4.359
Hg Fe Os Hf
1 1 2 1
direct
0.000 0.500 0.000 Hg
0.000 0.000 0.000 Fe
0.000 0.000 0.500 Os
0.500 0.000 0.000 Os
0.500 0.500 0.500 Hf

***

Entry 4:
Hf2FeReHg | Alexandria via LeMat-Bulk | GGA-PBE | relaxed; D(E_F) = 6.9 states/eV/cell; uncorrected energy = -30.58 eV per formula unit
1.0
-3.484 -3.181 1.975
-0.539 -2.152 -4.417
3.702 -3.328 1.170
Hf Re Fe Hg
2 1 1 1
direct
0.500 0.000 0.000 Hf
0.000 0.000 0.500 Hf
0.000 0.500 0.000 Re
0.500 0.500 0.500 Fe
0.000 0.000 0.000 Hg